# 1
The following is a PBE calculation of a relaxed TlCr2As crystal, from Alexandria.

E = -6.075 eV/atom
total magnetic moment = 1.53 μB per atom

a b c (Å): 5.042 5.042 5.042
angles (deg): 138.05 117.74 77.92
Element x y z (fractional)
As  0.750  0.250  0.500
Cr  0.965  0.965  0.000
Cr  0.535  0.535  0.000
Tl  0.250  0.750  0.500

=====

# 2
The following is a PBE calculation of a relaxed BaZrB2 crystal, from Alexandria.

E = -5.099 eV/atom
total magnetic moment = 0.00 μB per atom

a b c (Å): 5.400 5.400 8.038
angles (deg): 70.37 70.37 90.00
Element x y z (fractional)
B  0.491  0.125  0.250
B  0.259  0.625  0.250
B  0.375  0.509  0.750
B  0.875  0.741  0.750
Ba  0.000  0.000  0.000
Ba  0.750  0.250  0.500
Zr  0.500  0.500  0.000
Zr  0.250  0.750  0.500

=====

# 3
The following is a PBE calculation of a relaxed Tm4ZnGa2 crystal, from Alexandria.

E = -3.869 eV/atom
total magnetic moment = 0.00 μB per atom

a b c (Å): 4.912 4.912 8.942
angles (deg): 74.06 74.06 60.00
Element x y z (fractional)
Tm  0.376  0.376  0.873
Tm  0.209  0.209  0.372
Tm  0.791  0.791  0.628
Tm  0.624  0.624  0.127
Zn  0.000  0.000  0.000
Ga  0.096  0.096  0.713
Ga  0.904  0.904  0.287

=====

# 4
The following is a PBE calculation of a relaxed Pr8Te4P3N crystal, from Alexandria.

E = -6.185 eV/atom
total magnetic moment = 0.00 μB per atom

a b c (Å): 8.426 8.821 8.427
angles (deg): 118.53 120.00 90.00
Element x y z (fractional)
Pr  0.225  0.703  0.978
Pr  0.225  0.704  0.451
Pr  0.262  0.286  0.524
Pr  0.753  0.703  0.978
Pr  0.247  0.297  0.022
Pr  0.738  0.714  0.476
Pr  0.775  0.296  0.549
Pr  0.775  0.297  0.022
Te  0.500  0.000  0.000
Te  0.500  0.000  0.500
Te  0.000  0.000  0.000
Te  0.000  0.000  0.500
P  0.500  0.500  0.000
P  0.500  0.500  0.500
P  0.000  0.500  0.500
N  0.000  0.500  0.000

=====

# 5
The following is a PBE calculation of a relaxed Bi2SbPd crystal, from Alexandria.

E = -4.211 eV/atom
total magnetic moment = 0.00 μB per atom

a b c (Å): 6.615 6.615 8.003
angles (deg): 65.59 65.59 90.00
Element x y z (fractional)
Sb  0.000  0.000  0.000
Sb  0.750  0.250  0.500
Bi  0.582  0.125  0.250
Bi  0.168  0.625  0.250
Bi  0.375  0.418  0.750
Bi  0.875  0.832  0.750
Pd  0.500  0.500  0.000
Pd  0.250  0.750  0.500

=====

# 6
The following is a PBE calculation of a relaxed BeSnF3 crystal, from Alexandria.

E = -3.796 eV/atom
total magnetic moment = 0.11 μB per atom

a b c (Å): 4.525 4.525 4.525
angles (deg): 90.00 90.00 90.00
Element x y z (fractional)
Be  0.500  0.500  0.500
Sn  0.000  0.000  0.000
F  0.000  0.500  0.000
F  0.000  0.000  0.500
F  0.500  0.000  0.000

=====

# 7
The following is a PBE calculation of a relaxed Cu2P crystal, from Alexandria.

E = -4.466 eV/atom
total magnetic moment = 0.00 μB per atom

a b c (Å): 5.090 5.090 6.290
angles (deg): 67.71 67.71 30.79
Element x y z (fractional)
Cu  0.440  0.440  0.820
Cu  0.135  0.135  0.476
Cu  0.865  0.865  0.524
Cu  0.560  0.560  0.180
P  0.825  0.825  0.177
P  0.175  0.175  0.823

=====

# 8
The following is a PBE calculation of a relaxed YC crystal, from Alexandria.

E = -7.353 eV/atom
total magnetic moment = 0.00 μB per atom

a b c (Å): 3.863 3.863 3.863
angles (deg): 60.00 60.00 60.00
Element x y z (fractional)
Y  0.000  0.000  0.000
C  0.750  0.750  0.750

=====

# 9
The following is a PBE calculation of a relaxed Ti2NbNi2 crystal, from Alexandria.

E = -7.687 eV/atom
total magnetic moment = 0.00 μB per atom

a b c (Å): 7.162 7.162 2.841
angles (deg): 90.00 90.00 90.00
Element x y z (fractional)
Ni  0.138  0.638  0.500
Ni  0.638  0.862  0.500
Ni  0.862  0.362  0.500
Ni  0.362  0.138  0.500
Nb  0.000  0.000  0.000
Nb  0.500  0.500  0.000
Ti  0.342  0.842  0.000
Ti  0.842  0.658  0.000
Ti  0.658  0.158  0.000
Ti  0.158  0.342  0.000

=====

# 10
The following is a PBE calculation of a relaxed RuSeBr2 crystal, from Alexandria.

E = -3.710 eV/atom
total magnetic moment = 0.00 μB per atom

a b c (Å): 3.479 3.478 7.706
angles (deg): 90.00 90.00 90.00
Element x y z (fractional)
Br  0.000  0.000  0.915
Br  0.500  0.500  0.324
Ru  0.000  0.000  0.572
Se  0.500  0.500  0.689

=====

# 11
The following is a PBE calculation of a relaxed LaLuCdNi crystal, from Alexandria.

E = -4.244 eV/atom
total magnetic moment = 0.00 μB per atom

a b c (Å): 5.148 5.148 5.148
angles (deg): 60.00 60.00 60.00
Element x y z (fractional)
Cd  0.000  0.000  0.000
Lu  0.750  0.750  0.750
Ni  0.500  0.500  0.500
La  0.250  0.250  0.250

=====

# 12
The following is a PBE calculation of a relaxed KAs3 crystal, from Alexandria.

E = -3.754 eV/atom
total magnetic moment = 0.00 μB per atom

a b c (Å): 14.078 14.078 14.078
angles (deg): 163.82 163.82 22.96
Element x y z (fractional)
K  0.644  0.644  0.000
K  0.356  0.356  0.000
As  0.000  0.500  0.500
As  0.500  0.000  0.500
As  0.750  0.250  0.500
As  0.250  0.750  0.500
As  0.931  0.931  0.000
As  0.069  0.069  0.000

=====

# 13
The following is a PBE calculation of a relaxed Li2InGa2 crystal, from Alexandria.

E = -2.708 eV/atom
total magnetic moment = 0.00 μB per atom

a b c (Å): 4.572 5.601 8.904
angles (deg): 95.44 75.12 65.91
Element x y z (fractional)
Li  0.694  0.273  0.339
Li  0.910  0.251  0.928
Li  0.306  0.727  0.661
Li  0.090  0.749  0.072
In  0.608  0.116  0.669
In  0.392  0.884  0.331
Ga  0.995  0.391  0.620
Ga  0.662  0.790  0.885
Ga  0.005  0.609  0.380
Ga  0.338  0.210  0.115

=====

# 14
The following is a PBE calculation of a relaxed K2PuBiO4 crystal, from Alexandria.

E = -6.893 eV/atom
total magnetic moment = 0.37 μB per atom

a b c (Å): 3.460 7.431 6.924
angles (deg): 121.03 90.00 90.00
Element x y z (fractional)
K  0.500  0.000  0.500
K  0.000  0.500  0.500
Pu  0.500  0.500  0.000
Bi  0.000  0.000  0.000
O  0.500  0.266  0.103
O  0.500  0.734  0.897
O  0.000  0.342  0.776
O  0.000  0.658  0.224

=====

# 15
The following is a PBE calculation of a relaxed KV4S8 crystal, from Alexandria.

E = -6.146 eV/atom
total magnetic moment = 0.38 μB per atom

a b c (Å): 7.214 7.214 7.214
angles (deg): 60.00 60.00 60.00
Element x y z (fractional)
K  0.750  0.750  0.750
V  0.911  0.363  0.363
V  0.363  0.911  0.363
V  0.363  0.363  0.911
V  0.363  0.363  0.363
S  0.612  0.129  0.129
S  0.129  0.612  0.129
S  0.129  0.129  0.612
S  0.129  0.129  0.129
S  0.203  0.599  0.599
S  0.599  0.203  0.599
S  0.599  0.599  0.203
S  0.599  0.599  0.599

=====

# 16
The following is a PBE calculation of a relaxed Ca2Mg crystal, from Alexandria.

E = -1.874 eV/atom
total magnetic moment = 0.00 μB per atom

a b c (Å): 6.674 6.674 12.785
angles (deg): 139.51 139.51 38.12
Element x y z (fractional)
Ca  0.005  0.005  0.961
Ca  0.139  0.139  0.778
Ca  0.273  0.273  0.594
Ca  0.639  0.639  0.278
Mg  0.455  0.455  0.424
Mg  0.823  0.823  0.132

=====

# 17
The following is a PBE calculation of a relaxed ZrScRu2 crystal, from Alexandria.

E = -8.575 eV/atom
total magnetic moment = 0.00 μB per atom

a b c (Å): 8.297 8.297 8.297
angles (deg): 22.11 22.11 22.11
Element x y z (fractional)
Ru  0.000  0.000  0.000
Ru  0.500  0.500  0.500
Sc  0.250  0.250  0.250
Zr  0.750  0.750  0.750

=====

# 18
The following is a PBE calculation of a relaxed LaCeC4 crystal, from Alexandria.

E = -8.102 eV/atom
total magnetic moment = 0.09 μB per atom

a b c (Å): 3.863 4.255 6.868
angles (deg): 80.63 73.67 63.01
Element x y z (fractional)
La  0.000  0.000  0.000
Ce  0.500  0.500  0.500
C  0.806  0.601  0.788
C  0.298  0.094  0.310
C  0.194  0.399  0.212
C  0.702  0.906  0.690

=====

# 19
The following is a PBE calculation of a relaxed Li2ReRu crystal, from Alexandria.

E = -6.173 eV/atom
total magnetic moment = 0.00 μB per atom

a b c (Å): 4.488 4.488 5.110
angles (deg): 85.83 85.83 33.99
Element x y z (fractional)
Li  0.005  0.005  0.020
Li  0.248  0.248  0.229
Re  0.500  0.500  0.533
Ru  0.748  0.748  0.718

=====

# 20
The following is a PBE calculation of a relaxed NpTlC crystal, from Alexandria.

E = -7.958 eV/atom
total magnetic moment = 0.86 μB per atom

a b c (Å): 3.259 3.302 23.358
angles (deg): 90.00 90.00 90.00
Element x y z (fractional)
Np  0.235  0.750  0.809
Np  0.265  0.750  0.309
Np  0.765  0.250  0.191
Np  0.735  0.250  0.691
Tl  0.243  0.250  0.557
Tl  0.257  0.250  0.057
Tl  0.757  0.750  0.443
Tl  0.743  0.750  0.943
C  0.235  0.750  0.710
C  0.265  0.750  0.210
C  0.765  0.250  0.290
C  0.735  0.250  0.790

=====

# 21
The following is a PBE calculation of a relaxed ThGaNi4 crystal, from Alexandria.

E = -5.963 eV/atom
total magnetic moment = 0.00 μB per atom

a b c (Å): 3.950 5.823 8.055
angles (deg): 90.00 104.19 90.00
Element x y z (fractional)
Th  0.105  0.250  0.209
Th  0.895  0.750  0.791
Ga  0.230  0.750  0.461
Ga  0.770  0.250  0.539
Ni  0.500  0.500  0.000
Ni  0.500  0.000  0.000
Ni  0.660  0.949  0.320
Ni  0.340  0.051  0.680
Ni  0.340  0.449  0.680
Ni  0.660  0.551  0.320
Ni  0.075  0.750  0.151
Ni  0.925  0.250  0.849

=====

# 22
The following is a PBE calculation of a relaxed LaTb6Sc3 crystal, from Alexandria.

E = -5.039 eV/atom
total magnetic moment = 0.00 μB per atom

a b c (Å): 6.278 11.283 11.283
angles (deg): 130.43 90.00 90.00
Element x y z (fractional)
La  0.005  0.157  0.843
La  0.505  0.843  0.157
Tb  0.085  0.734  0.623
Tb  0.585  0.623  0.734
Tb  0.333  0.458  0.893
Tb  0.833  0.893  0.458
Tb  0.268  0.985  0.015
Tb  0.800  0.302  0.698
Tb  0.300  0.698  0.302
Tb  0.768  0.015  0.985
Tb  0.333  0.107  0.542
Tb  0.833  0.542  0.107
Tb  0.085  0.377  0.266
Tb  0.585  0.266  0.377
Sc  0.484  0.956  0.702
Sc  0.984  0.702  0.956
Sc  0.109  0.416  0.584
Sc  0.609  0.584  0.416
Sc  0.984  0.044  0.298
Sc  0.484  0.298  0.044

=====

# 23
The following is a PBE calculation of a relaxed AcIn4Au2 crystal, from Alexandria.

E = -3.489 eV/atom
total magnetic moment = 0.00 μB per atom

a b c (Å): 4.494 8.945 8.945
angles (deg): 90.00 90.00 90.00
Element x y z (fractional)
Ac  0.500  0.000  0.000
Ac  0.000  0.500  0.500
In  0.000  0.088  0.335
In  0.000  0.912  0.665
In  0.500  0.165  0.588
In  0.500  0.835  0.412
In  0.500  0.412  0.835
In  0.500  0.588  0.165
In  0.000  0.335  0.088
In  0.000  0.665  0.912
Au  0.000  0.194  0.806
Au  0.000  0.806  0.194
Au  0.500  0.694  0.694
Au  0.500  0.306  0.306

=====

# 24
The following is a PBE calculation of a relaxed LaSe2N crystal, from Alexandria.

E = -5.130 eV/atom
total magnetic moment = 0.50 μB per atom

a b c (Å): 7.728 7.728 7.728
angles (deg): 34.24 34.24 34.24
Element x y z (fractional)
N  0.000  0.000  0.000
Se  0.098  0.098  0.098
Se  0.902  0.902  0.902
La  0.500  0.500  0.500

=====

# 25
The following is a PBE calculation of a relaxed SrEuIn crystal, from Alexandria.

E = -5.101 eV/atom
total magnetic moment = 2.45 μB per atom

a b c (Å): 3.883 5.686 5.686
angles (deg): 120.00 90.00 90.00
Element x y z (fractional)
Eu  0.941  0.000  0.000
Sr  0.359  0.333  0.667
In  0.700  0.667  0.333